First-principles (PBE-GGA) data for crystalline MnIr3Rh2 at its relaxed geometry, as listed in Alexandria via LeMat-Bulk.

D(E_F) = 14.17 states/eV per cell
DFT formation energy = 0.2502 eV/atom
VASP energy = -48.95 eV per formula unit

Unit cell a=7.0965 b=9.8823 c=2.7234 alpha=90.00 beta=90.00 gamma=90.00
With the nearest neighbours (Å) after each atom.
Space group Pnnm (No. 58)
Unique sites:
Mn1 0.0000 0.0000 0.0000  4 Ir 2.55, 4 Rh 2.61, 2 Mn 2.72
Ir1 0.0000 0.5000 0.5000  6 Ir 2.63-2.72, 4 Rh 2.68
Ir2 0.2414 0.1325 0.5000  2 Mn 2.55, 3 Rh 2.61-2.72, 4 Ir 2.63-2.72
Rh1 0.2428 0.8577 0.5000  2 Mn 2.61, 5 Ir 2.61-2.72, 2 Rh 2.72